Record 1
# DyPaFeOs PBE-GGA optimized geometry
data_DyPaFeOs
_cell_length_a 6.7978
_cell_length_b 6.7978
_cell_length_c 6.7978
_cell_angle_alpha 90.00
_cell_angle_beta 90.00
_cell_angle_gamma 90.00
_symmetry_space_group_name_H-M 'F -4 3 m'
_symmetry_Int_Tables_number 216
_symmetry_space_group_name_Hall 'F -4 2 3'
loop_
_atom_site_label
_atom_site_type_symbol
_atom_site_fract_x
_atom_site_fract_y
_atom_site_fract_z
Dy1 Dy 0.0000 0.0000 0.0000
Pa1 Pa 0.0000 0.0000 0.5000
Fe1 Fe 0.2500 0.2500 0.2500
Os1 Os 0.2500 0.2500 0.7500
# N(E_F): 0.75 states/eV per atom
# E_form: -92.9 meV per atom
# E_tot: -8.541 eV per atom

Record 2
# DyFeSi2Os PBE-GGA optimized geometry
data_DyFeSi2Os
_cell_length_a 4.0308
_cell_length_b 4.0308
_cell_length_c 9.8319
_cell_angle_alpha 90.00
_cell_angle_beta 90.00
_cell_angle_gamma 90.00
_symmetry_space_group_name_H-M 'I -4 m 2'
_symmetry_Int_Tables_number 119
_symmetry_space_group_name_Hall 'I -4 -2'
loop_
_atom_site_label
_atom_site_type_symbol
_atom_site_fract_x
_atom_site_fract_y
_atom_site_fract_z
Dy1 Dy 0.0000 0.0000 0.0000
Fe1 Fe 0.0000 0.5000 0.2500
Si1 Si 0.0000 0.0000 0.3735
Os1 Os 0.0000 0.5000 0.7500
# N(E_F): 0.87 states/eV per atom
# formation energy from raw total energies: -691 meV per atom
# E_tot: -7.719 eV per atom

Record 3
# DyFeSi3Os PBE-GGA optimized geometry
data_DyFeSi3Os
_cell_length_a 7.4402
_cell_length_b 10.6997
_cell_length_c 5.3661
_cell_angle_alpha 90.00
_cell_angle_beta 90.00
_cell_angle_gamma 90.00
_symmetry_space_group_name_H-M 'C m c m'
_symmetry_Int_Tables_number 63
_symmetry_space_group_name_Hall '-C 2c 2'
loop_
_atom_site_label
_atom_site_type_symbol
_atom_site_fract_x
_atom_site_fract_y
_atom_site_fract_z
Dy1 Dy 0.0000 0.2433 0.2500
Fe1 Fe 0.0000 0.0434 0.7500
Si1 Si 0.0000 0.2369 0.7500
Si2 Si 0.2394 0.0000 0.0000
Os1 Os 0.0000 0.4444 0.7500
# N(E_F): 0.43 states/eV per atom
# formation energy from raw total energies: -312 meV per atom
# E_tot: -7.073 eV per atom

Record 4
# DyTaFeOs PBE-GGA optimized geometry
data_DyTaFeOs
_cell_length_a 6.4766
_cell_length_b 6.4766
_cell_length_c 6.4766
_cell_angle_alpha 90.00
_cell_angle_beta 90.00
_cell_angle_gamma 90.00
_symmetry_space_group_name_H-M 'F -4 3 m'
_symmetry_Int_Tables_number 216
_symmetry_space_group_name_Hall 'F -4 2 3'
loop_
_atom_site_label
_atom_site_type_symbol
_atom_site_fract_x
_atom_site_fract_y
_atom_site_fract_z
Dy1 Dy 0.0000 0.0000 0.0000
Ta1 Ta 0.0000 0.0000 0.5000
Fe1 Fe 0.2500 0.2500 0.2500
Os1 Os 0.2500 0.2500 0.7500
# N(E_F): 0.47 states/eV per atom
# E_form: -59.6 meV per atom
# E_tot: -9.096 eV per atom

Record 5
# DyThFeOs PBE-GGA optimized geometry
data_DyThFeOs
_cell_length_a 6.9372
_cell_length_b 6.9372
_cell_length_c 6.9372
_cell_angle_alpha 90.00
_cell_angle_beta 90.00
_cell_angle_gamma 90.00
_symmetry_space_group_name_H-M 'F -4 3 m'
_symmetry_Int_Tables_number 216
_symmetry_space_group_name_Hall 'F -4 2 3'
loop_
_atom_site_label
_atom_site_type_symbol
_atom_site_fract_x
_atom_site_fract_y
_atom_site_fract_z
Dy1 Dy 0.0000 0.0000 0.0000
Th1 Th 0.0000 0.0000 0.5000
Fe1 Fe 0.2500 0.2500 0.2500
Os1 Os 0.2500 0.2500 0.7500
# N(E_F): 1.00 states/eV per atom
# E_form: -62.2 meV per atom
# E_tot: -7.991 eV per atom

Record 6
# Dy2Fe12P7 PBE-GGA optimized geometry
data_Dy2Fe12P7
_cell_length_a 8.9588
_cell_length_b 8.9588
_cell_length_c 3.6392
_cell_angle_alpha 90.00
_cell_angle_beta 90.00
_cell_angle_gamma 120.00
_symmetry_space_group_name_H-M 'P -6'
_symmetry_Int_Tables_number 174
loop_
_symmetry_equiv_pos_as_xyz
'x,y,z'
'-x+y,-x,-z'
'-y,x-y,z'
'x,y,-z'
'-x+y,-x,z'
'-y,x-y,-z'
loop_
_atom_site_label
_atom_site_type_symbol
_atom_site_fract_x
_atom_site_fract_y
_atom_site_fract_z
Dy1 Dy 0.0000 0.0000 0.0000
Dy2 Dy 0.3333 0.6667 0.5000
Fe1 Fe 0.0378 0.2778 0.5000
Fe2 Fe 0.0987 0.7173 0.0000
Fe3 Fe 0.4517 0.2139 0.0000
Fe4 Fe 0.5108 0.4522 0.5000
P1 P 0.0679 0.4451 0.0000
P2 P 0.2556 0.2195 0.5000
P3 P 0.6667 0.3333 0.5000
# N(E_F): 0.96 states/eV per atom
# E_form: -716.6 meV per atom
# E_tot: -7.794 eV per atom

Record 7
# DyFe4P12 PBE-GGA optimized geometry
data_DyFe4P12
_cell_length_a 7.7772
_cell_length_b 7.7772
_cell_length_c 7.7772
_cell_angle_alpha 90.00
_cell_angle_beta 90.00
_cell_angle_gamma 90.00
_symmetry_space_group_name_H-M 'I m -3'
_symmetry_Int_Tables_number 204
_symmetry_space_group_name_Hall '-I 2 2 3'
loop_
_atom_site_label
_atom_site_type_symbol
_atom_site_fract_x
_atom_site_fract_y
_atom_site_fract_z
Dy1 Dy 0.0000 0.0000 0.0000
Fe1 Fe 0.2500 0.2500 0.2500
P1 P 0.0000 0.1506 0.3521
# N(E_F): 0.58 states/eV per atom
# E_form: -588.1 meV per atom
# E_tot: -6.669 eV per atom

Record 8
# Dy2FeP PBE-GGA optimized geometry
data_Dy2FeP
_cell_length_a 3.6772
_cell_length_b 3.6772
_cell_length_c 26.2689
_cell_angle_alpha 90.00
_cell_angle_beta 90.00
_cell_angle_gamma 120.00
_symmetry_space_group_name_H-M 'R -3 m'
_symmetry_Int_Tables_number 166
_symmetry_space_group_name_Hall '-R 3 2"'
loop_
_atom_site_label
_atom_site_type_symbol
_atom_site_fract_x
_atom_site_fract_y
_atom_site_fract_z
Dy1 Dy 0.0000 0.0000 0.1030
Fe1 Fe 0.0000 0.0000 0.0000
P1 P 0.0000 0.0000 0.5000
# N(E_F): 0.89 states/eV per atom
# E_form: -14.1 meV per atom
# E_tot: -5.783 eV per atom